Entry 1:
Below is a geometry-optimized YbSmRh2 structure, with properties calculated at the PBE level.

## Properties
- ΔH_f (0 K) (eV per atom) = -0.70

a b c (Å): 4.834 4.835 4.834
angles (deg): 60.04 60.00 60.04
Fractional coordinates of all 4 atoms:
Yb 0.750 0.750 0.750
Rh 0.000 0.000 0.000
Rh 0.500 0.500 0.500
Sm 0.250 0.250 0.250

=====

Entry 2:
Below is a geometry-optimized NpGeS4 structure, with properties calculated at the PBE level.

## Properties
- energy relative to the elements, uncorrected (eV per atom) = -0.553
- energy relative to the lowest polymorph listed for this composition (meV/atom) = 155

a b c (Å): 6.299 6.453 8.929
angles (deg): 104.77 104.11 107.56
Site moments in Bohr magnetons follow the coordinates.
Fractional coordinates of all 12 atoms:
Np 0.326 0.576 0.153  2.62
Np 0.674 0.424 0.847  2.62
Ge 0.834 0.084 0.167  0.04
Ge 0.166 0.916 0.833  0.04
S 0.315 0.063 0.648  -0.10
S 0.032 0.788 0.082  -0.10
S 0.167 0.415 0.352  -0.10
S 0.450 0.706 0.918  -0.10
S 0.685 0.937 0.352  -0.10
S 0.833 0.585 0.648  -0.10
S 0.968 0.212 0.918  -0.10
S 0.550 0.294 0.082  -0.10

=====

Short version: raw total energy = -5.940 -6.231 eV per atom, in the order given.